Entry from Alexandria: a geometry-optimized TiZnSeBr2 structure (PBE-GGA).

It has space group P4/mmm (No. 123), with a = 4.9984 Å, b = 4.9984 Å, c = 5.1417 Å, α = 90.00°, β = 90.00° and γ = 90.00°. The asymmetric unit holds Ti at (0.0000, 0.0000, 0.0000), Zn at (0.5000, 0.5000, 0.5000), Se at (0.5000, 0.5000, 0.0000) and Br at (0.0000, 0.5000, 0.5000).

As for the calculated density: 4.55 Mg/m³. As for the energy above the lowest structure with this stoichiometry: 529 meV/atom.